An optimized crystal structure of RbU2Cu2Te6. Source: Alexandria via LeMat-Bulk, functional PBE-GGA.

It has space group P-1 (No. 2), with a = 7.989 Å, b = 8.048 Å, c = 8.230 Å, α = 62.72°, β = 62.99° and γ = 60.88°. The distinct sites, in fractional coordinates, are Rb at (0.000, 0.000, 0.000), U at (0.333, 0.337, 0.993), Cu at (0.439, 0.662, 0.566), Te at (0.076, 0.687, 0.745), Te at (0.304, 0.537, 0.252) and Te at (0.477, 0.073, 0.749).

The calculation puts the formation energy (no corrections) at -5.08 eV per formula unit. The calculation puts the electronic total energy at -5.060 eV/atom. The total magnetization comes out at 3.00 μB per cell. The theoretical density is 6.16 g/cm3.